A plane-wave DFT calculation with GGA+U was carried out for a relaxed structure of KCrPbF6.

Computed properties:
The space-group type is P-31c, No. 163. The value obtained for the raw total energy is -95.0 eV per cell.

Cell lengths 6.0655, 6.0655, 9.5135 Å; angles 90.00, 90.00, 120.00 degrees
With the nearest neighbours (Å) after each atom.
Element x y z (fractional)
F  0.9213  0.3117  0.1324  1 Cr 1.96
Pb  0.0000  0.0000  0.0000  6 F 2.51
F  0.6096  0.9213  0.8676  1 Cr 1.96
F  0.6883  0.6096  0.1324  1 Cr 1.96
F  0.3904  0.0787  0.1324  1 Cr 1.96
F  0.3117  0.9213  0.6324  1 Cr 1.96
Cr  0.6667  0.3333  0.2500  6 F 1.96
F  0.0787  0.3904  0.6324  1 Cr 1.96
F  0.3904  0.3117  0.3676  1 Cr 1.96
Cr  0.3333  0.6667  0.7500  6 F 1.96
Pb  0.0000  0.0000  0.5000  6 F 2.51
K  0.6667  0.3333  0.7500  6 F 2.60
K  0.3333  0.6667  0.2500  6 F 2.60
F  0.9213  0.6096  0.3676  1 Cr 1.96
F  0.6883  0.0787  0.3676  1 Cr 1.96
F  0.6096  0.6883  0.6324  1 Cr 1.96
F  0.3117  0.3904  0.8676  1 Cr 1.96
F  0.0787  0.6883  0.8676  1 Cr 1.96